Record 1
A relaxed Sm5Sn4H crystal. Source: the Alexandria database, functional PBE-GGA.

Values from the calculation:
Total DFT energy (no corrections), eV per atom: -4.78

Unit cell a=7.5670 b=7.5670 c=7.5670 alpha=99.91 beta=99.91 gamma=130.98
Last column: nearest neighbours and their distance in Å.
Fractional coordinates of all 10 atoms:
Sm 0.0000 0.0000 0.0000  1 H 2.41
Sm 0.1616 0.3500 0.6163  1 H 2.97, 5 Sn 3.12-3.16
Sm 0.3500 0.7336 0.1883  1 H 2.97, 5 Sn 3.12-3.16
Sm 0.5453 0.1616 0.8117  1 H 2.97, 5 Sn 3.12-3.16
Sm 0.7336 0.5453 0.3837  1 H 2.97, 5 Sn 3.12-3.16
Sn 0.0392 0.6445 0.7925  6 Sm 3.09-3.16
Sn 0.2468 0.0392 0.3947  6 Sm 3.09-3.16
Sn 0.6445 0.8521 0.6053  6 Sm 3.09-3.16
Sn 0.8521 0.2468 0.2075  6 Sm 3.09-3.16
H 0.3836 0.3836 0.0000  1 Sm 2.41

Record 2
A relaxed Sm4TlSnH crystal. Source: the Alexandria database, functional PBE-GGA.

Values from the calculation:
Total DFT energy (no corrections), eV per atom: -4.58

Unit cell a=9.2703 b=9.2703 c=6.5614 alpha=90.00 beta=90.00 gamma=138.49
Last column: nearest neighbours and their distance in Å.
Fractional coordinates of all 14 atoms:
Sm 0.0000 0.5000 0.0000  2 H 2.44
Sm 0.0000 0.5000 0.5000  2 H 2.44
Sm 0.0705 0.9295 0.7500  1 H 2.37
Sm 0.4277 0.5723 0.7500  3 Sn 3.21-3.35, 2 Tl 3.36
Sm 0.5000 0.0000 0.0000  2 H 2.44
Sm 0.5000 0.0000 0.5000  2 H 2.44
Sm 0.5723 0.4277 0.2500  3 Sn 3.21-3.35, 2 Tl 3.36
Sm 0.9295 0.0705 0.2500  1 H 2.37
Tl 0.1131 0.8869 0.2500  9 Sm 3.18-3.36
Tl 0.8869 0.1131 0.7500  9 Sm 3.18-3.36
Sn 0.3873 0.6127 0.2500  9 Sm 3.21-3.37
Sn 0.6127 0.3873 0.7500  9 Sm 3.21-3.37
H 0.2074 0.7926 0.7500  5 Sm 2.37-2.44
H 0.7926 0.2074 0.2500  5 Sm 2.37-2.44

Record 3
A relaxed Sr2SmH crystal. Source: the Alexandria database, functional PBE-GGA.

Values from the calculation:
Total DFT energy (no corrections), eV per atom: -2.72

Unit cell a=3.7817 b=3.7817 c=31.6106 alpha=90.00 beta=90.00 gamma=120.00
Last column: nearest neighbours and their distance in Å.
Fractional coordinates of all 12 atoms:
Sr 0.0000 0.0000 0.1159  3 H 2.71
Sr 0.0000 0.0000 0.8841  3 H 2.71
Sr 0.3333 0.6667 0.5508  3 H 2.71
Sr 0.3333 0.6667 0.7826  3 H 2.71
Sr 0.6667 0.3333 0.2174  3 H 2.71
Sr 0.6667 0.3333 0.4492  3 H 2.71
Sm 0.0000 0.0000 0.0000  2 Sr 3.66, 6 Sm 3.78
Sm 0.3333 0.6667 0.6667  2 Sr 3.66, 6 Sm 3.78
Sm 0.6667 0.3333 0.3333  2 Sr 3.66, 6 Sm 3.78
H 0.0000 0.0000 0.5000  6 Sr 2.71
H 0.3333 0.6667 0.1667  6 Sr 2.71
H 0.6667 0.3333 0.8333  6 Sr 2.71

Record 4
A relaxed SrSmH2 crystal. Source: the Alexandria database, functional PBE-GGA.

Values from the calculation:
Total DFT energy (no corrections), eV per atom: -3.55

Unit cell a=3.8687 b=3.8687 c=19.3876 alpha=90.00 beta=90.00 gamma=120.00
Last column: nearest neighbours and their distance in Å.
Fractional coordinates of all 12 atoms:
Sr 0.0000 0.0000 0.0000  4 H 2.67-2.81
Sr 0.3333 0.6667 0.6667  4 H 2.67-2.81
Sr 0.6667 0.3333 0.3333  4 H 2.67-2.81
Sm 0.0000 0.0000 0.1849  3 H 2.24
Sm 0.3333 0.6667 0.8515  3 H 2.24
Sm 0.6667 0.3333 0.5182  3 H 2.24
H 0.0000 0.0000 0.5785  3 H 2.43, 3 Sm 2.52
H 0.0000 0.0000 0.8625  3 Sm 2.24, 3 H 2.43
H 0.3333 0.6667 0.2452  3 H 2.43, 3 Sm 2.52
H 0.3333 0.6667 0.5292  3 Sm 2.24, 3 H 2.43
H 0.6667 0.3333 0.1959  3 Sm 2.24, 3 H 2.43
H 0.6667 0.3333 0.9118  3 H 2.43, 3 Sm 2.52

Record 5
A relaxed SrSm2H crystal. Source: the Alexandria database, functional PBE-GGA.

Values from the calculation:
Total DFT energy (no corrections), eV per atom: -3.61

Unit cell a=3.7154 b=3.7154 c=29.7927 alpha=90.00 beta=90.00 gamma=120.00
Last column: nearest neighbours and their distance in Å.
Fractional coordinates of all 12 atoms:
Sr 0.0000 0.0000 0.0000  2 Sm 3.60, 6 Sr 3.72
Sr 0.3333 0.6667 0.6667  2 Sm 3.60, 6 Sr 3.72
Sr 0.6667 0.3333 0.3333  2 Sm 3.60, 6 Sr 3.72
Sm 0.0000 0.0000 0.1210  3 H 2.54
Sm 0.0000 0.0000 0.8790  3 H 2.54
Sm 0.3333 0.6667 0.5457  3 H 2.54
Sm 0.3333 0.6667 0.7877  3 H 2.54
Sm 0.6667 0.3333 0.2123  3 H 2.54
Sm 0.6667 0.3333 0.4543  3 H 2.54
H 0.0000 0.0000 0.5000  6 Sm 2.54
H 0.3333 0.6667 0.1667  6 Sm 2.54
H 0.6667 0.3333 0.8333  6 Sm 2.54

Record 6
A relaxed SrSmH crystal. Source: the Alexandria database, functional PBE-GGA.

Values from the calculation:
Total DFT energy (no corrections), eV per atom: -3.34

Unit cell a=3.8198 b=3.8198 c=6.2321 alpha=90.00 beta=90.00 gamma=120.00
Last column: nearest neighbours and their distance in Å.
Fractional coordinates of all 3 atoms:
Sr 0.0000 0.0000 0.0000  3 H 2.81
Sm 0.3333 0.6667 0.4829  3 H 2.54
H 0.6667 0.3333 0.2792  3 Sm 2.54, 3 Sr 2.81

Record 7
A relaxed SrSm3H crystal. Source: the Alexandria database, functional PBE-GGA.

Values from the calculation:
Total DFT energy (no corrections), eV per atom: -3.88

Unit cell a=5.2327 b=5.2327 c=5.2327 alpha=90.00 beta=90.00 gamma=90.00
Last column: nearest neighbours and their distance in Å.
Fractional coordinates of all 5 atoms:
Sr 0.0000 0.0000 0.0000  12 Sm 3.70
Sm 0.0000 0.5000 0.5000  2 H 2.62
Sm 0.5000 0.0000 0.5000  2 H 2.62
Sm 0.5000 0.5000 0.0000  2 H 2.62
H 0.5000 0.5000 0.5000  6 Sm 2.62

Record 8
A relaxed Sr5Sm3H12 crystal. Source: the Alexandria database, functional PBE-GGA.

Values from the calculation:
Total DFT energy (no corrections), eV per atom: -3.47

Unit cell a=12.1309 b=12.1309 c=12.1309 alpha=109.47 beta=109.47 gamma=109.47
Last column: nearest neighbours and their distance in Å.
Fractional coordinates of all 80 atoms:
Sr 0.0000 0.0000 0.0000  6 H 2.45
Sr 0.0000 0.0000 0.5000  6 H 2.45
Sr 0.0000 0.5000 0.0000  6 H 2.45
Sr 0.0000 0.5000 0.5000  6 H 2.45
Sr 0.1250 0.7500 0.8750  4 H 2.40
Sr 0.1250 0.8750 0.2500  4 H 2.40
Sr 0.2500 0.1250 0.8750  4 H 2.40
Sr 0.2500 0.6250 0.3750  4 H 2.40
Sr 0.3750 0.2500 0.6250  4 H 2.40
Sr 0.3750 0.6250 0.7500  4 H 2.40
Sr 0.5000 0.0000 0.0000  6 H 2.45
Sr 0.5000 0.0000 0.5000  6 H 2.45
Sr 0.5000 0.5000 0.0000  6 H 2.45
Sr 0.5000 0.5000 0.5000  6 H 2.45
Sr 0.6250 0.3750 0.2500  4 H 2.40
Sr 0.6250 0.7500 0.3750  4 H 2.40
Sr 0.7500 0.3750 0.6250  4 H 2.40
Sr 0.7500 0.8750 0.1250  4 H 2.40
Sr 0.8750 0.1250 0.7500  4 H 2.40
Sr 0.8750 0.2500 0.1250  4 H 2.40
Sm 0.1250 0.2500 0.3750  8 H 2.41-2.51
Sm 0.1250 0.3750 0.7500  8 H 2.41-2.51
Sm 0.2500 0.3750 0.1250  8 H 2.41-2.51
Sm 0.2500 0.8750 0.6250  8 H 2.41-2.51
Sm 0.3750 0.1250 0.2500  8 H 2.41-2.51
Sm 0.3750 0.7500 0.1250  8 H 2.41-2.51
Sm 0.6250 0.2500 0.8750  8 H 2.41-2.51
Sm 0.6250 0.8750 0.7500  8 H 2.41-2.51
Sm 0.7500 0.1250 0.3750  8 H 2.41-2.51
Sm 0.7500 0.6250 0.8750  8 H 2.41-2.51
Sm 0.8750 0.6250 0.2500  8 H 2.41-2.51
Sm 0.8750 0.7500 0.6250  8 H 2.41-2.51
H 0.0735 0.2327 0.1581  1 H 2.31, 2 Sr 2.40-2.45, 2 Sm 2.41-2.51
H 0.0735 0.3408 0.9154  1 H 2.31, 2 Sr 2.40-2.45, 2 Sm 2.41-2.51
H 0.0745 0.7327 0.6592  1 H 2.31, 2 Sr 2.40-2.45, 2 Sm 2.41-2.51
H 0.0745 0.8419 0.4154  1 H 2.31, 2 Sr 2.40-2.45, 2 Sm 2.41-2.51
H 0.0846 0.6581 0.4255  1 H 2.31, 2 Sr 2.40-2.45, 2 Sm 2.41-2.51
H 0.0846 0.9265 0.6592  1 H 2.31, 2 Sr 2.40-2.45, 2 Sm 2.41-2.51
H 0.1581 0.0735 0.2327  1 H 2.31, 2 Sr 2.40-2.45, 2 Sm 2.41-2.51
H 0.1581 0.5846 0.9255  1 H 2.31, 2 Sr 2.40-2.45, 2 Sm 2.41-2.51
H 0.1592 0.2327 0.5745  1 H 2.31, 2 Sr 2.40-2.45, 2 Sm 2.41-2.51
H 0.1592 0.4265 0.5846  1 H 2.31, 2 Sr 2.40-2.45, 2 Sm 2.41-2.51
H 0.2327 0.1581 0.0735  1 H 2.31, 2 Sr 2.40-2.45, 2 Sm 2.41-2.51
H 0.2327 0.5745 0.1592  1 H 2.31, 2 Sr 2.40-2.45, 2 Sm 2.41-2.51
H 0.2673 0.3408 0.9255  1 H 2.31, 2 Sr 2.40-2.45, 2 Sm 2.41-2.51
H 0.2673 0.4265 0.3419  1 H 2.31, 2 Sr 2.40-2.45, 2 Sm 2.41-2.51
H 0.3408 0.9154 0.0735  1 H 2.31, 2 Sr 2.40-2.45, 2 Sm 2.41-2.51
H 0.3408 0.9255 0.2673  1 H 2.31, 2 Sr 2.40-2.45, 2 Sm 2.41-2.51
H 0.3419 0.2673 0.4265  1 H 2.31, 2 Sr 2.40-2.45, 2 Sm 2.41-2.51
H 0.3419 0.5745 0.9154  1 H 2.31, 2 Sr 2.40-2.45, 2 Sm 2.41-2.51
H 0.4154 0.0745 0.8419  1 H 2.31, 2 Sr 2.40-2.45, 2 Sm 2.41-2.51
H 0.4154 0.8408 0.5735  1 H 2.31, 2 Sr 2.40-2.45, 2 Sm 2.41-2.51
H 0.4255 0.0846 0.6581  1 H 2.31, 2 Sr 2.40-2.45, 2 Sm 2.41-2.51
H 0.4255 0.8408 0.7673  1 H 2.31, 2 Sr 2.40-2.45, 2 Sm 2.41-2.51
H 0.4265 0.3419 0.2673  1 H 2.31, 2 Sr 2.40-2.45, 2 Sm 2.41-2.51
H 0.4265 0.5846 0.1592  1 H 2.31, 2 Sr 2.40-2.45, 2 Sm 2.41-2.51
H 0.5735 0.4154 0.8408  1 H 2.31, 2 Sr 2.40-2.45, 2 Sm 2.41-2.51
H 0.5735 0.6581 0.7327  1 H 2.31, 2 Sr 2.40-2.45, 2 Sm 2.41-2.51
H 0.5745 0.1592 0.2327  1 H 2.31, 2 Sr 2.40-2.45, 2 Sm 2.41-2.51
H 0.5745 0.9154 0.3419  1 H 2.31, 2 Sr 2.40-2.45, 2 Sm 2.41-2.51
H 0.5846 0.1592 0.4265  1 H 2.31, 2 Sr 2.40-2.45, 2 Sm 2.41-2.51
H 0.5846 0.9255 0.1581  1 H 2.31, 2 Sr 2.40-2.45, 2 Sm 2.41-2.51
H 0.6581 0.4255 0.0846  1 H 2.31, 2 Sr 2.40-2.45, 2 Sm 2.41-2.51
H 0.6581 0.7327 0.5735  1 H 2.31, 2 Sr 2.40-2.45, 2 Sm 2.41-2.51
H 0.6592 0.0745 0.7327  1 H 2.31, 2 Sr 2.40-2.45, 2 Sm 2.41-2.51
H 0.6592 0.0846 0.9265  1 H 2.31, 2 Sr 2.40-2.45, 2 Sm 2.41-2.51
H 0.7327 0.5735 0.6581  1 H 2.31, 2 Sr 2.40-2.45, 2 Sm 2.41-2.51
H 0.7327 0.6592 0.0745  1 H 2.31, 2 Sr 2.40-2.45, 2 Sm 2.41-2.51
H 0.7673 0.4255 0.8408  1 H 2.31, 2 Sr 2.40-2.45, 2 Sm 2.41-2.51
H 0.7673 0.8419 0.9265  1 H 2.31, 2 Sr 2.40-2.45, 2 Sm 2.41-2.51
H 0.8408 0.5735 0.4154  1 H 2.31, 2 Sr 2.40-2.45, 2 Sm 2.41-2.51
H 0.8408 0.7673 0.4255  1 H 2.31, 2 Sr 2.40-2.45, 2 Sm 2.41-2.51
H 0.8419 0.4154 0.0745  1 H 2.31, 2 Sr 2.40-2.45, 2 Sm 2.41-2.51
H 0.8419 0.9265 0.7673  1 H 2.31, 2 Sr 2.40-2.45, 2 Sm 2.41-2.51
H 0.9154 0.0735 0.3408  1 H 2.31, 2 Sr 2.40-2.45, 2 Sm 2.41-2.51
H 0.9154 0.3419 0.5745  1 H 2.31, 2 Sr 2.40-2.45, 2 Sm 2.41-2.51
H 0.9255 0.1581 0.5846  1 H 2.31, 2 Sr 2.40-2.45, 2 Sm 2.41-2.51
H 0.9255 0.2673 0.3408  1 H 2.31, 2 Sr 2.40-2.45, 2 Sm 2.41-2.51
H 0.9265 0.6592 0.0846  1 H 2.31, 2 Sr 2.40-2.45, 2 Sm 2.41-2.51
H 0.9265 0.7673 0.8419  1 H 2.31, 2 Sr 2.40-2.45, 2 Sm 2.41-2.51

Record 9
A relaxed SmTa2H8 crystal. Source: the Alexandria database, functional PBE-GGA.

Values from the calculation:
Total DFT energy (no corrections), eV per atom: -5.22

Unit cell a=4.9215 b=4.9215 c=4.6700 alpha=90.05 beta=90.05 gamma=120.89
Last column: nearest neighbours and their distance in Å.
Fractional coordinates of all 11 atoms:
Sm 0.0000 0.0000 0.0000  10 H 2.41-2.62
Ta 0.3291 0.6802 0.5000  8 H 1.88-1.96
Ta 0.6802 0.3291 0.5000  8 H 1.88-1.96
H 0.0020 0.4474 0.2127  2 Ta 1.92-1.95, 2 H 1.99-2.10
H 0.0029 0.4483 0.7873  2 Ta 1.92-1.95, 2 H 1.99-2.10
H 0.0065 0.7790 0.4996  2 Ta 1.88-1.96, 3 H 1.95-2.10
H 0.4474 0.0020 0.2127  2 Ta 1.92-1.95, 2 H 1.99-2.10
H 0.4483 0.0029 0.7873  2 Ta 1.92-1.95, 2 H 1.99-2.10
H 0.5103 0.5103 0.2344  2 Ta 1.95
H 0.5124 0.5124 0.7657  2 Ta 1.95
H 0.7790 0.0065 0.4996  2 Ta 1.88-1.96, 3 H 1.95-2.10